Record 1
Density functional theory data (GGA-PBE) for a relaxed SnSeBr3 crystal.

Properties
volume	32.04	Å³/atom
uncorrected formation energy	0.115	eV/atom
M_tot	0.62	Bohr magnetons per cell

Unit cell a=5.4309 b=5.4309 c=5.4309 alpha=90.00 beta=90.00 gamma=90.00
Atoms (fractional coordinates):
Sn1 0.0000 0.0000 0.0000
Se1 0.5000 0.5000 0.5000
Br1 0.0000 0.5000 0.5000
Br2 0.5000 0.0000 0.5000
Br3 0.5000 0.5000 0.0000


Record 2
Density functional theory data (GGA-PBE) for a relaxed Sn4SeBr6 crystal.

Properties
volume	32.94	Å³/atom
uncorrected formation energy	-0.626	eV/atom
M_tot	0.00	Bohr magnetons per cell

Unit cell a=10.5259 b=10.5259 c=7.5532 alpha=90.00 beta=90.00 gamma=120.00
Atoms (fractional coordinates):
Sn1 0.1890 0.3779 0.0000
Sn2 0.1890 0.8110 0.0000
Sn3 0.3333 0.6667 0.4873
Sn4 0.3779 0.1890 0.5000
Sn5 0.6221 0.8110 0.0000
Sn6 0.6667 0.3333 0.9873
Sn7 0.8110 0.1890 0.5000
Sn8 0.8110 0.6221 0.5000
Se1 0.3333 0.6667 0.8795
Se2 0.6667 0.3333 0.3795
Br1 0.0719 0.5359 0.2680
Br2 0.1454 0.2907 0.6194
Br3 0.1454 0.8546 0.6194
Br4 0.2907 0.1454 0.1194
Br5 0.4641 0.5359 0.2680
Br6 0.4641 0.9281 0.2680
Br7 0.5359 0.0719 0.7680
Br8 0.5359 0.4641 0.7680
Br9 0.7093 0.8546 0.6194
Br10 0.8546 0.1454 0.1194
Br11 0.8546 0.7093 0.1194
Br12 0.9281 0.4641 0.7680


What is the formula in the second record?
Sn4SeBr6


The lowest uncorrected formation energy belongs to which entry?
Sn4SeBr6